The following is a DFT calculation (PBE) of crystalline NaPuPtPb at its relaxed geometry.

Lattice parameters (Å, degrees): 5.0084 5.0084 5.0084 60.00 60.00 60.00
Closest atoms and distances in Å follow each position.
Element x y z (fractional)
Pu: 0.5000 0.5000 0.5000  4 Na 3.07, 4 Pt 3.07
Pb: 0.0000 0.0000 0.0000  4 Na 3.07, 4 Pt 3.07
Na: 0.2500 0.2500 0.2500  4 Pb 3.07, 4 Pu 3.07
Pt: 0.7500 0.7500 0.7500  4 Pb 3.07, 4 Pu 3.07

Output
Symmetry   F-43m (216)
Size of the total moment   1.303 μB per atom
E_tot   -6.590 eV/atom
Energy of formation from the pure elements   -0.2396 eV/atom